[1]
Compound: Tm3NiRh
Source: Alexandria
Functional: GGA-PBE
Structure: optimized geometry

Cell lengths 3.895, 6.793, 8.592 Å; angles 90.01, 90.00, 90.00 degrees
Atoms (fractional coordinates):
Tm (0.750, 0.750, 0.051)
Tm (0.250, 0.250, 0.949)
Tm (0.750, 0.989, 0.670)
Tm (0.750, 0.511, 0.670)
Tm (0.250, 0.011, 0.330)
Tm (0.250, 0.489, 0.330)
Ni (0.750, 0.750, 0.398)
Ni (0.250, 0.250, 0.602)
Rh (0.750, 0.250, 0.170)
Rh (0.250, 0.750, 0.830)

Calculated values
Energy relative to the elements: -0.52 eV per atom
DFT total energy: -5.832 eV per atom
Relative energy among the computed polymorphs: 85 meV per atom

=====

[2]
Compound: RbSbAuI2
Source: Alexandria
Functional: GGA-PBE
Structure: optimized geometry

Cell lengths 6.112, 6.112, 5.328 Å; angles 90.00, 90.00, 90.00 degrees
Atoms (fractional coordinates):
I (0.000, 0.500, 0.000)
I (0.500, 0.000, 0.000)
Sb (0.000, 0.000, 0.500)
Au (0.000, 0.000, 0.000)
Rb (0.500, 0.500, 0.500)

Calculated values
DFT total energy: -2.546 eV per atom
Relative energy among the computed polymorphs: 0 meV per atom
Formation energy from raw total energies: -252 meV/atom

=====

[3]
Compound: SnHgSe
Source: Alexandria
Functional: GGA-PBE
Structure: optimized geometry

Cell lengths 3.882, 3.882, 9.209 Å; angles 77.83, 77.83, 60.00 degrees
Atoms (fractional coordinates):
Sn (0.725, 0.725, 0.824)
Hg (0.868, 0.868, 0.396)
Se (0.000, 0.000, 0.001)

Calculated values
DFT total energy: -2.804 eV per atom
Relative energy among the computed polymorphs: 58 meV per atom
Formation energy from raw total energies: -208 meV/atom

=====

[4]
Compound: HgPt2Cl
Source: Alexandria
Functional: GGA-PBE
Structure: optimized geometry

Cell lengths 4.470, 4.470, 6.862 Å; angles 87.68, 87.68, 40.16 degrees
Atoms (fractional coordinates):
Cl (0.409, 0.409, 0.498)
Hg (0.750, 0.750, 0.798)
Pt (0.035, 0.035, 0.020)
Pt (0.306, 0.306, 0.184)

Calculated values
DFT total energy: -3.349 eV per atom
Relative energy among the computed polymorphs: 100 meV per atom
Formation energy from raw total energies: 209 meV/atom

=====

[5]
Compound: YCu2Te
Source: Alexandria
Functional: GGA-PBE
Structure: optimized geometry

Cell lengths 5.280, 5.280, 5.280 Å; angles 131.78, 132.04, 70.37 degrees
Atoms (fractional coordinates):
Cu (0.000, 0.000, 0.000)
Cu (0.500, 0.500, 0.000)
Te (0.750, 0.250, 0.500)
Y (0.250, 0.750, 0.500)

Calculated values
DFT total energy: -4.657 eV per atom
Formation energy from raw total energies: -208 meV/atom

=====

[6]
Compound: CsTbAs2O6
Source: Alexandria
Functional: GGA-PBE
Structure: optimized geometry

Cell lengths 7.230, 7.230, 6.813 Å; angles 102.74, 102.74, 90.51 degrees
Atoms (fractional coordinates):
Cs (0.202, 0.798, 0.250)
Cs (0.798, 0.202, 0.750)
Tb (0.601, 0.399, 0.250)
Tb (0.399, 0.601, 0.750)
As (0.277, 0.122, 0.802)
As (0.878, 0.723, 0.698)
As (0.723, 0.878, 0.198)
As (0.122, 0.277, 0.302)
O (0.914, 0.400, 0.253)
O (0.600, 0.086, 0.247)
O (0.086, 0.600, 0.747)
O (0.400, 0.914, 0.753)
O (0.170, 0.152, 0.046)
O (0.848, 0.830, 0.454)
O (0.830, 0.848, 0.954)
O (0.152, 0.170, 0.546)
O (0.322, 0.448, 0.395)
O (0.552, 0.678, 0.105)
O (0.678, 0.552, 0.605)
O (0.448, 0.322, 0.895)

Calculated values
DFT total energy: -6.289 eV per atom
Formation energy from raw total energies: -1836 meV/atom